{
  "formula": "PtIClF2",
  "functional": "GGA-PBEsol",
  "state": "relaxed",
  "lattice_angstrom": [[-0.9464, -3.3184, -2.5351], [3.9949, -1.4767, 0.4416], [-1.4528, -2.7079, 4.0870]],
  "species": ["Pt", "F", "F", "I", "Cl"],
  "fractional_positions": [[0.0000, 0.0000, 0.5000], [0.5000, 0.0000, 0.0000], [0.0000, 0.5000, 0.0000], [0.0000, 0.0000, 0.0000], [0.5000, 0.5000, 0.5000]],
  "m_tot_mub_per_cell": 0.000,
  "sg": "P4/mmm, No. 123",
  "dos_at_fermi_per_ev_atom": 0.634,
  "dft_energy_ev_per_cell": -15.9
}

{
  "formula": "SbICl2F6",
  "functional": "GGA-PBEsol",
  "state": "relaxed",
  "lattice_angstrom": [[-5.6201, -4.5405, 3.4139], [5.3042, -5.7963, -1.4574], [5.4244, 2.0374, 11.6397]],
  "species": ["Cl", "Cl", "Cl", "Cl", "Cl", "Cl", "Cl", "Cl", "F", "F", "F", "F", "F", "F", "F", "F", "F", "F", "F", "F", "F", "F", "F", "F", "F", "F", "F", "F", "F", "F", "F", "F", "I", "I", "I", "I", "Sb", "Sb", "Sb", "Sb"],
  "fractional_positions": [[0.6958, 0.6277, 0.1387], [0.1958, 0.1277, 0.3613], [0.8723, 0.8042, 0.3613], [0.6277, 0.6958, 0.8613], [0.1277, 0.1958, 0.6387], [0.8042, 0.8723, 0.6387], [0.3042, 0.3723, 0.8613], [0.3723, 0.3042, 0.1387], [0.1509, 0.8491, 0.4966], [0.1325, 0.6121, 0.1546], [0.6509, 0.3491, 0.0034], [0.1121, 0.6325, 0.6546], [0.0274, 0.7116, 0.9688], [0.6325, 0.1121, 0.3454], [0.5274, 0.2116, 0.5312], [0.3879, 0.8675, 0.1546], [0.7884, 0.4726, 0.5312], [0.8675, 0.3879, 0.8454], [0.9305, 0.0695, 0.8684], [0.3491, 0.6509, 0.9966], [0.2884, 0.9726, 0.9688], [0.4726, 0.7884, 0.4688], [0.3675, 0.8879, 0.6546], [0.5695, 0.4305, 0.3684], [0.2116, 0.5274, 0.4688], [0.8491, 0.1509, 0.5034], [0.4305, 0.5695, 0.6316], [0.0695, 0.9305, 0.1316], [0.8879, 0.3675, 0.3454], [0.9726, 0.2884, 0.0312], [0.7116, 0.0274, 0.0312], [0.6121, 0.1325, 0.8454], [0.6585, 0.8415, 0.2500], [0.8415, 0.6585, 0.7500], [0.3415, 0.1585, 0.7500], [0.1585, 0.3415, 0.2500], [0.2943, 0.7057, 0.5587], [0.2057, 0.7943, 0.0587], [0.7943, 0.2057, 0.9413], [0.7057, 0.2943, 0.4413]],
  "m_tot_mub_per_cell": 0.000,
  "sg": "Cmce, No. 64",
  "dos_at_fermi_per_ev_atom": 0.000,
  "dft_energy_ev_per_cell": -153.1
}

{
  "formula": "InClF2",
  "functional": "GGA-PBEsol",
  "state": "relaxed",
  "lattice_angstrom": [[4.1977, 0.0000, 0.0000], [2.0989, 3.6353, 0.0000], [2.0989, 1.2118, 3.4274]],
  "species": ["F", "F", "In", "Cl"],
  "fractional_positions": [[0.7500, 0.7500, 0.7500], [0.2500, 0.2500, 0.2500], [0.5000, 0.5000, 0.5000], [0.0000, 0.0000, 0.0000]],
  "m_tot_mub_per_cell": 0.000,
  "de_polymorph_mev_per_atom": 841,
  "sg": "Fm-3m, No. 225",
  "dos_at_fermi_per_ev_atom": 0.521
}

{
  "formula": "InCl2F",
  "functional": "GGA-PBEsol",
  "state": "relaxed",
  "lattice_angstrom": [[4.4703, 0.0000, 0.0000], [2.2352, 3.8714, 0.0000], [2.2352, 1.2905, 3.6500]],
  "species": ["F", "Cl", "Cl", "In"],
  "fractional_positions": [[0.0000, 0.0000, 0.0000], [0.7500, 0.7500, 0.7500], [0.2500, 0.2500, 0.2500], [0.5000, 0.5000, 0.5000]],
  "m_tot_mub_per_cell": 0.001,
  "sg": "Fm-3m, No. 225",
  "dos_at_fermi_per_ev_atom": 0.848,
  "dft_energy_ev_per_cell": -12.4
}

{
  "formula": "InClF2",
  "functional": "GGA-PBEsol",
  "state": "relaxed",
  "lattice_angstrom": [[5.6500, -0.0360, -0.0081], [-1.7848, 5.3608, -0.0081], [-1.8714, -2.5781, 5.0779]],
  "species": ["F", "F", "F", "F", "Cl", "Cl", "In", "In"],
  "fractional_positions": [[0.2281, 0.2302, 0.6406], [0.2302, 0.2281, 0.1406], [0.7088, 0.1011, 0.2397], [0.1011, 0.7088, 0.7397], [0.8506, 0.5790, 0.1155], [0.5790, 0.8506, 0.6155], [0.1179, 0.4319, 0.4180], [0.4319, 0.1179, 0.9180]],
  "m_tot_mub_per_cell": 0.002,
  "de_polymorph_mev_per_atom": 0,
  "sg": "Cc, No. 9",
  "dos_at_fermi_per_ev_atom": 0.000
}

{
  "formula": "IrClF3",
  "functional": "GGA-PBEsol",
  "state": "relaxed",
  "lattice_angstrom": [[4.0460, 0.0000, 0.0000], [0.0000, 4.0460, 0.0000], [0.0000, 0.0000, 4.0460]],
  "species": ["F", "F", "F", "Ir", "Cl"],
  "fractional_positions": [[0.0000, 0.0000, 0.5000], [0.5000, 0.0000, 0.0000], [0.0000, 0.5000, 0.0000], [0.0000, 0.0000, 0.0000], [0.5000, 0.5000, 0.5000]],
  "m_tot_mub_per_cell": 0.834,
  "de_polymorph_mev_per_atom": 0,
  "sg": "Pm-3m, No. 221",
  "dos_at_fermi_per_ev_atom": 1.587
}

{
  "formula": "IrCl4F6",
  "functional": "GGA-PBEsol",
  "state": "relaxed",
  "lattice_angstrom": [[5.3466, 0.1093, 0.0000], [-0.1001, 7.3766, 0.0000], [0.0000, 0.0000, 10.7838]],
  "species": ["F", "F", "F", "F", "F", "F", "F", "F", "F", "F", "F", "F", "Cl", "Cl", "Cl", "Cl", "Cl", "Cl", "Cl", "Cl", "Ir", "Ir"],
  "fractional_positions": [[0.8048, 0.9571, 0.5807], [0.6246, 0.2144, 0.4289], [0.6105, 0.8674, 0.3603], [0.1952, 0.5429, 0.0807], [0.3895, 0.6326, 0.8603], [0.3754, 0.2856, 0.9289], [0.1952, 0.0429, 0.4193], [0.8048, 0.4571, 0.9193], [0.6105, 0.3674, 0.1397], [0.3754, 0.7856, 0.5711], [0.6246, 0.7144, 0.0711], [0.3895, 0.1326, 0.6397], [0.9740, 0.6331, 0.3537], [0.0260, 0.3669, 0.6463], [0.7374, 0.5323, 0.6361], [0.7374, 0.0323, 0.8639], [0.0260, 0.8669, 0.8537], [0.9740, 0.1331, 0.1463], [0.2626, 0.9677, 0.1361], [0.2626, 0.4677, 0.3639], [0.5000, 0.5000, 0.0000], [0.5000, 0.0000, 0.5000]],
  "m_tot_mub_per_cell": 6.166,
  "sg": "P2_1/c, No. 14",
  "dos_at_fermi_per_ev_atom": 0.651,
  "dft_energy_ev_per_cell": -79.0
}

{
  "formula": "IrClF3",
  "functional": "GGA-PBEsol",
  "state": "relaxed",
  "lattice_angstrom": [[4.2497, 0.0000, 0.0000], [0.0000, 4.2497, 0.0000], [0.0000, 0.0000, 4.2497]],
  "species": ["F", "F", "F", "Ir", "Cl"],
  "fractional_positions": [[0.5000, 0.0000, 0.0000], [0.0000, 0.0000, 0.5000], [0.0000, 0.5000, 0.0000], [0.5000, 0.5000, 0.5000], [0.0000, 0.0000, 0.0000]],
  "m_tot_mub_per_cell": 2.667,
  "de_polymorph_mev_per_atom": 1415,
  "sg": "Pm-3m, No. 221",
  "dos_at_fermi_per_ev_atom": 1.325
}

{
  "formula": "P2IrClF6",
  "functional": "GGA-PBEsol",
  "state": "relaxed",
  "lattice_angstrom": [[10.1010, 0.0000, 0.0000], [0.0000, 10.4978, -0.0148], [0.0000, 2.5240, 12.9799]],
  "species": ["F", "F", "F", "F", "F", "F", "F", "F", "F", "F", "F", "F", "F", "F", "F", "F", "F", "F", "F", "F", "F", "F", "F", "F", "F", "F", "F", "F", "F", "F", "F", "F", "F", "F", "F", "F", "F", "F", "F", "F", "F", "F", "F", "F", "F", "F", "F", "F", "P", "P", "P", "P", "P", "P", "P", "P", "P", "P", "P", "P", "P", "P", "P", "P", "Ir", "Ir", "Ir", "Ir", "Ir", "Ir", "Ir", "Ir", "Cl", "Cl", "Cl", "Cl", "Cl", "Cl", "Cl", "Cl"],
  "fractional_positions": [[0.0180, 0.1430, 0.4720], [0.1171, 0.1512, 0.0061], [0.2652, 0.8341, 0.5356], [0.4845, 0.8602, 0.4744], [0.0155, 0.3602, 0.9744], [0.7791, 0.3728, 0.2174], [0.3829, 0.6512, 0.5061], [0.9959, 0.4551, 0.2056], [0.3722, 0.4480, 0.3799], [0.8744, 0.6660, 0.5040], [0.0057, 0.8653, 0.7554], [0.1256, 0.3340, 0.4960], [0.6171, 0.3488, 0.4939], [0.8829, 0.8488, 0.9939], [0.7652, 0.6659, 0.9644], [0.8759, 0.4339, 0.3637], [0.2239, 0.9396, 0.7166], [0.3759, 0.0661, 0.1363], [0.9845, 0.6398, 0.0256], [0.2342, 0.1285, 0.5394], [0.6256, 0.1660, 0.0040], [0.5155, 0.1398, 0.5256], [0.1278, 0.9480, 0.8799], [0.9943, 0.1347, 0.2446], [0.7209, 0.8728, 0.7174], [0.2348, 0.3341, 0.0356], [0.2658, 0.6285, 0.0394], [0.9820, 0.8570, 0.5280], [0.7348, 0.1659, 0.4644], [0.7658, 0.8715, 0.4606], [0.7342, 0.3715, 0.9606], [0.0041, 0.5449, 0.7944], [0.5057, 0.6347, 0.7446], [0.8722, 0.0520, 0.1201], [0.6241, 0.9339, 0.8637], [0.4959, 0.0449, 0.2944], [0.6278, 0.5520, 0.6201], [0.2761, 0.4396, 0.2166], [0.4820, 0.6430, 0.9720], [0.4943, 0.3653, 0.2554], [0.2209, 0.6272, 0.7826], [0.7761, 0.0604, 0.2834], [0.5180, 0.3570, 0.0280], [0.5041, 0.9551, 0.7056], [0.7239, 0.5604, 0.7834], [0.1241, 0.5661, 0.6363], [0.3744, 0.8340, 0.9960], [0.2791, 0.1272, 0.2826], [0.4006, 0.6936, 0.0575], [0.5994, 0.3064, 0.9425], [0.4057, 0.4861, 0.2624], [0.9006, 0.8064, 0.4425], [0.1422, 0.5101, 0.7539], [0.3578, 0.0101, 0.2539], [0.6422, 0.9899, 0.7461], [0.6465, 0.2067, 0.5504], [0.9057, 0.0139, 0.2376], [0.8578, 0.4899, 0.2461], [0.0994, 0.1936, 0.5575], [0.0943, 0.9861, 0.7624], [0.1465, 0.2933, 0.9496], [0.3535, 0.7933, 0.4496], [0.5943, 0.5139, 0.7376], [0.8535, 0.7067, 0.0504], [0.7268, 0.1791, 0.7026], [0.2268, 0.3209, 0.7974], [0.2732, 0.8209, 0.2974], [0.9885, 0.8261, 0.2931], [0.0115, 0.1739, 0.7069], [0.7732, 0.6791, 0.2026], [0.5115, 0.3261, 0.7931], [0.4885, 0.6739, 0.2069], [0.6339, 0.6494, 0.3526], [0.1259, 0.6396, 0.3487], [0.3741, 0.1396, 0.8487], [0.3661, 0.3506, 0.6474], [0.8661, 0.1494, 0.8526], [0.1339, 0.8506, 0.1474], [0.8741, 0.3604, 0.6513], [0.6259, 0.8604, 0.1513]],
  "m_tot_mub_per_cell": 0.000,
  "sg": "P2_1/c, No. 14",
  "dos_at_fermi_per_ev_atom": 0.022,
  "dft_energy_ev_per_cell": -443.8
}

{
  "formula": "ScIr2ClF",
  "functional": "GGA-PBEsol",
  "state": "relaxed",
  "lattice_angstrom": [[-1.8354, -2.6056, -2.4684], [2.9153, 0.5349, -2.7323], [2.5899, -3.7474, 2.0298]],
  "species": ["F", "Ir", "Ir", "Sc", "Cl"],
  "fractional_positions": [[0.0000, 0.0000, 0.0000], [0.0000, 0.5000, 0.0000], [0.5000, 0.0000, 0.0000], [0.5000, 0.5000, 0.5000], [0.0000, 0.0000, 0.5000]],
  "m_tot_mub_per_cell": 0.000,
  "de_polymorph_mev_per_atom": 0,
  "sg": "P4/mmm, No. 123",
  "dos_at_fermi_per_ev_atom": 0.356
}

{
  "formula": "ScIr2ClF",
  "functional": "GGA-PBEsol",
  "state": "relaxed",
  "lattice_angstrom": [[4.3118, 0.0000, 0.0000], [0.0000, 4.3118, 0.0000], [0.0000, 0.0000, 4.6403]],
  "species": ["Sc", "Cl", "F", "Ir", "Ir"],
  "fractional_positions": [[0.5000, 0.5000, 0.5000], [0.0000, 0.0000, 0.0000], [0.0000, 0.0000, 0.5000], [0.0000, 0.5000, 0.0000], [0.5000, 0.0000, 0.0000]],
  "m_tot_mub_per_cell": 0.001,
  "de_polymorph_mev_per_atom": 69,
  "sg": "P4/mmm, No. 123",
  "dos_at_fermi_per_ev_atom": 0.972
}

{
  "formula": "KClF2",
  "functional": "GGA-PBEsol",
  "state": "relaxed",
  "lattice_angstrom": [[4.2835, 0.0000, 0.0000], [2.1418, 3.7096, 0.0000], [2.1418, 1.2365, 5.7054]],
  "species": ["F", "F", "Cl", "K"],
  "fractional_positions": [[0.8908, 0.8908, 0.3276], [0.1092, 0.1092, 0.6724], [0.0000, 0.0000, 0.0000], [0.5000, 0.5000, 0.5000]],
  "m_tot_mub_per_cell": 0.001,
  "sg": "R-3m, No. 166",
  "dos_at_fermi_per_ev_atom": 0.000,
  "dft_energy_ev_per_cell": -13.9
}

{
  "formula": "K3ClF",
  "functional": "GGA-PBEsol",
  "state": "relaxed",
  "lattice_angstrom": [[-1.7310, 2.7572, 4.2672], [-4.5245, 1.2140, -2.6197], [-2.3110, -4.4420, 1.9327]],
  "species": ["K", "K", "K", "Cl", "F"],
  "fractional_positions": [[0.0000, 0.0000, 0.5000], [0.5000, 0.0000, 0.0000], [0.0000, 0.5000, 0.0000], [0.5000, 0.5000, 0.5000], [0.0000, 0.0000, 0.0000]],
  "m_tot_mub_per_cell": 0.000,
  "sg": "Pm-3m, No. 221",
  "dos_at_fermi_per_ev_atom": 0.217,
  "dft_energy_ev_per_cell": -15.4
}

{
  "formula": "KSbClF3",
  "functional": "GGA-PBEsol",
  "state": "relaxed",
  "lattice_angstrom": [[-1.4084, -7.2542, 2.5150], [5.3062, 0.9914, 5.8309], [-10.6852, 5.1426, 8.8494]],
  "species": ["Cl", "Cl", "Cl", "Cl", "Cl", "Cl", "Cl", "Cl", "F", "F", "F", "F", "F", "F", "F", "F", "F", "F", "F", "F", "F", "F", "F", "F", "F", "F", "F", "F", "F", "F", "F", "F", "K", "K", "K", "K", "K", "K", "K", "K", "Sb", "Sb", "Sb", "Sb", "Sb", "Sb", "Sb", "Sb"],
  "fractional_positions": [[0.4819, 0.6302, 0.6494], [0.0181, 0.3698, 0.1494], [0.5181, 0.3698, 0.3506], [0.0181, 0.1302, 0.6494], [0.5181, 0.1302, 0.8506], [0.9819, 0.6302, 0.8506], [0.4819, 0.8698, 0.1494], [0.9819, 0.8698, 0.3506], [0.1169, 0.4984, 0.3478], [0.8338, 0.9671, 0.9540], [0.3895, 0.2613, 0.1498], [0.1662, 0.4671, 0.5460], [0.1105, 0.7387, 0.6498], [0.3895, 0.2387, 0.6498], [0.8895, 0.2613, 0.3502], [0.6105, 0.7387, 0.8502], [0.1169, 0.0016, 0.8478], [0.6169, 0.0016, 0.6522], [0.8338, 0.5329, 0.4540], [0.6169, 0.4984, 0.1522], [0.3831, 0.9984, 0.3478], [0.6662, 0.4671, 0.9540], [0.3338, 0.9671, 0.5460], [0.6662, 0.0329, 0.4540], [0.8831, 0.5016, 0.6522], [0.8895, 0.2387, 0.8502], [0.1105, 0.7613, 0.1498], [0.1662, 0.0329, 0.0460], [0.8831, 0.9984, 0.1522], [0.3338, 0.5329, 0.0460], [0.6105, 0.7613, 0.3502], [0.3831, 0.5016, 0.8478], [0.8200, 0.8012, 0.5586], [0.3200, 0.6988, 0.4414], [0.8200, 0.6988, 0.0586], [0.3200, 0.8012, 0.9414], [0.6800, 0.3012, 0.5586], [0.1800, 0.1988, 0.4414], [0.1800, 0.3012, 0.9414], [0.6800, 0.1988, 0.0586], [0.8656, 0.5055, 0.3221], [0.3656, 0.9945, 0.6779], [0.6344, 0.0055, 0.3221], [0.6344, 0.4945, 0.8221], [0.1344, 0.4945, 0.6779], [0.8656, 0.9945, 0.8221], [0.1344, 0.0055, 0.1779], [0.3656, 0.5055, 0.1779]],
  "m_tot_mub_per_cell": 0.000,
  "sg": "Pbca, No. 61",
  "dos_at_fermi_per_ev_atom": 0.000,
  "dft_energy_ev_per_cell": -216.5
}

{
  "formula": "K2TeClF5",
  "functional": "GGA-PBEsol",
  "state": "relaxed",
  "lattice_angstrom": [[4.5530, 0.0000, 0.0098], [0.0000, 10.5854, 0.0000], [-0.2142, 0.0000, 14.4558]],
  "species": ["K", "K", "K", "K", "K", "K", "K", "K", "F", "F", "F", "F", "F", "F", "F", "F", "F", "F", "F", "F", "F", "F", "F", "F", "F", "F", "F", "F", "Te", "Te", "Te", "Te", "Cl", "Cl", "Cl", "Cl"],
  "fractional_positions": [[0.2475, 0.4219, 0.6043], [0.7475, 0.0781, 0.1043], [0.2469, 0.3435, 0.9222], [0.7469, 0.1565, 0.4222], [0.2531, 0.8435, 0.5778], [0.7531, 0.6565, 0.0778], [0.7525, 0.5781, 0.3957], [0.2525, 0.9219, 0.8957], [0.1572, 0.1411, 0.5920], [0.7182, 0.0012, 0.5919], [0.2182, 0.4988, 0.0919], [0.2201, 0.2221, 0.1013], [0.6572, 0.3589, 0.0920], [0.6284, 0.2422, 0.2417], [0.7818, 0.5012, 0.9081], [0.2818, 0.9988, 0.4081], [0.8428, 0.8589, 0.4080], [0.3748, 0.4985, 0.7713], [0.6252, 0.5015, 0.2287], [0.8716, 0.7422, 0.2583], [0.2799, 0.7221, 0.3987], [0.7799, 0.7779, 0.8987], [0.7201, 0.2779, 0.6013], [0.3428, 0.6411, 0.9080], [0.3716, 0.7578, 0.7583], [0.1252, 0.9985, 0.7287], [0.8748, 0.0015, 0.2713], [0.1284, 0.2578, 0.7417], [0.1440, 0.8669, 0.3155], [0.8560, 0.1331, 0.6845], [0.6440, 0.6331, 0.8155], [0.3560, 0.3669, 0.1845], [0.7371, 0.1280, 0.8957], [0.7629, 0.6280, 0.6043], [0.2629, 0.8720, 0.1043], [0.2371, 0.3720, 0.3957]],
  "m_tot_mub_per_cell": 0.010,
  "sg": "P2_1/c, No. 14",
  "dos_at_fermi_per_ev_atom": 0.000,
  "dft_energy_ev_per_cell": -153.9
}

{
  "formula": "LaCl3F",
  "functional": "GGA-PBEsol",
  "state": "relaxed",
  "lattice_angstrom": [[4.6697, 0.0000, 0.0000], [0.0000, 4.6697, 0.0000], [0.0000, 0.0000, 4.6697]],
  "species": ["Cl", "Cl", "Cl", "F", "La"],
  "fractional_positions": [[0.0000, 0.5000, 0.0000], [0.0000, 0.0000, 0.5000], [0.5000, 0.0000, 0.0000], [0.0000, 0.0000, 0.0000], [0.5000, 0.5000, 0.5000]],
  "m_tot_mub_per_cell": 1.224,
  "sg": "Pm-3m, No. 221",
  "dos_at_fermi_per_ev_atom": 0.790,
  "dft_energy_ev_per_cell": -19.1
}

{
  "formula": "LaCl2F",
  "functional": "GGA-PBEsol",
  "state": "relaxed",
  "lattice_angstrom": [[-1.3132, 0.1098, 4.2815], [-0.9260, -3.8153, 2.1573], [5.8695, -1.6868, 4.1871]],
  "species": ["La", "Cl", "Cl", "F"],
  "fractional_positions": [[0.5000, 0.5000, 0.5000], [0.8851, 0.8851, 0.3446], [0.1149, 0.1149, 0.6554], [0.0000, 0.0000, 0.0000]],
  "m_tot_mub_per_cell": 0.058,
  "sg": "R-3m, No. 166",
  "dft_energy_ev_per_cell": -18.8
}